[1]
Entry from the Alexandria database: a relaxed AlV3Sn crystal (GGA-PBE).

Calculated values
Space-group type: Pm-3m (221)
Final energy, eV per atom: -6.100
Fermi-level density of states, states/eV per atom: 1.25
Energy of formation from the pure elements, meV per atom: 920
Volume, Å³ per cell: 94
Theoretical density, g/cm³: 5.3
Energy relative to the lowest polymorph listed for this composition, kJ/mol of formula units: 0.0

Cell lengths 4.5528, 4.5528, 4.5528 Å; angles 90.00, 90.00, 90.00 degrees
Positions (direct):
Al 0.0000 0.0000 0.0000
V 0.0000 0.0000 0.5000
V 0.0000 0.5000 0.0000
V 0.5000 0.0000 0.0000
Sn 0.5000 0.5000 0.5000

---

[2]
Entry from the Alexandria database: a relaxed HfCuPd14 crystal (GGA-PBE).

Calculated values
Space-group type: P4/mmm (123)
Final energy, eV per atom: -5.657
Fermi-level density of states, states/eV per atom: 1.67
Energy of formation from the pure elements, meV per atom: -235
Volume, Å³ per cell: 248
Theoretical density, g/cm³: 11.6

Cell lengths 5.6189, 5.6189, 7.8653 Å; angles 90.00, 90.00, 90.00 degrees
Positions (direct):
Hf 0.0000 0.0000 0.0000
Cu 0.5000 0.5000 0.0000
Pd 0.0000 0.0000 0.5000
Pd 0.0000 0.5000 0.0000
Pd 0.0000 0.5000 0.5000
Pd 0.2506 0.2506 0.2457
Pd 0.2506 0.2506 0.7543
Pd 0.2506 0.7494 0.2457
Pd 0.2506 0.7494 0.7543
Pd 0.5000 0.0000 0.0000
Pd 0.5000 0.0000 0.5000
Pd 0.5000 0.5000 0.5000
Pd 0.7494 0.2506 0.2457
Pd 0.7494 0.2506 0.7543
Pd 0.7494 0.7494 0.2457
Pd 0.7494 0.7494 0.7543